Record 1
First-principles (PBE) data for a geometry-optimized Tb4Nd3 structure, as listed in Alexandria.

Lattice parameters (Å, degrees): 6.2579 6.2579 8.0804 97.41 97.41 48.18
Fractional positions:
Tb 0.0720 0.0720 0.2102
Tb 0.3577 0.3577 0.0704
Tb 0.6423 0.6423 0.9296
Tb 0.9280 0.9280 0.7898
Nd 0.2139 0.2139 0.6458
Nd 0.5000 0.5000 0.5000
Nd 0.7861 0.7861 0.3542

Properties
Formation enthalpy at 0 K   0.0164 eV/atom
DFT total energy   -32.71 eV per cell
Calculated density   7.6 Mg/m³

***

Record 2
First-principles (PBE) data for a geometry-optimized Tl2GaBiBr6 structure, as listed in Alexandria.

Lattice parameters (Å, degrees): 7.7264 8.3565 13.5551 90.00 123.57 90.00
Fractional positions:
Tl 0.2126 0.0823 0.2454
Tl 0.2126 0.4177 0.7454
Tl 0.7874 0.5823 0.2546
Tl 0.7874 0.9177 0.7546
Ga 0.0000 0.0000 0.5000
Ga 0.0000 0.5000 0.0000
Bi 0.5000 0.0000 0.0000
Bi 0.5000 0.5000 0.5000
Br 0.1428 0.1864 0.9476
Br 0.1428 0.3136 0.4476
Br 0.2597 0.7075 0.9401
Br 0.2597 0.7925 0.4401
Br 0.3743 0.0368 0.7567
Br 0.3743 0.4632 0.2567
Br 0.6257 0.5368 0.7433
Br 0.6257 0.9632 0.2433
Br 0.7403 0.2075 0.5599
Br 0.7403 0.2925 0.0599
Br 0.8572 0.6864 0.5524
Br 0.8572 0.8136 0.0524

Properties
DFT total energy   -58.70 eV per cell
Calculated density   5.3 Mg/m³
Energy relative to the elements, uncorrected   -767 meV per atom